Density functional theory data (PBE) for crystalline CdNi2Ir at its relaxed geometry.

Calculated values
E_form (eV/atom): 0.130
Total energy (eV per atom): -5.20

POSCAR file:
```
CdNi2Ir
1.0
4.2032 0.0000 0.0000
0.0000 1.3491 4.9272
0.0000 -1.3491 4.9272
Cd Ni Ir
1 2 1
Direct
0.0000 0.0000 0.0000 Cd
0.0000 0.2583 0.2583 Ni
0.5000 0.3927 0.3927 Ni
0.5000 0.6722 0.6722 Ir
```



Density functional theory data (PBE) for crystalline Cd2NiIr at its relaxed geometry.

Calculated values
E_form (eV/atom): 0.134
Total energy (eV per atom): -3.98

POSCAR file:
```
Cd2NiIr
1.0
5.1344 -1.4500 0.0000
5.1344 1.4500 0.0000
-1.8170 0.0000 4.4576
Cd Ni Ir
2 1 1
Direct
0.0000 0.0000 0.0000 Cd
0.2147 0.2147 0.6293 Cd
0.7531 0.7531 0.1460 Ni
0.4539 0.4539 0.4686 Ir
```



Density functional theory data (PBE) for crystalline Cd2NiIr at its relaxed geometry.

Calculated values
E_form (eV/atom): 0.224
Total energy (eV per atom): -3.89

POSCAR file:
```
Cd2NiIr
1.0
4.6570 -1.5095 0.0000
4.6570 1.5095 0.0000
-1.2852 0.0000 4.6179
Cd Ni Ir
2 1 1
Direct
0.2422 0.2422 0.2430 Cd
0.7578 0.7578 0.7570 Cd
0.5000 0.5000 0.0000 Ni
0.0000 0.0000 0.5000 Ir
```



Density functional theory data (PBE) for crystalline CdNi2Ir at its relaxed geometry.

Calculated values
E_form (eV/atom): 0.071
Total energy (eV per atom): -5.26

POSCAR file:
```
CdNi2Ir
1.0
2.7379 0.0000 0.0000
0.0000 2.7379 0.0000
0.0000 0.0000 7.4582
Cd Ni Ir
1 2 1
Direct
0.0000 0.0000 0.0000 Cd
0.5000 0.5000 0.2709 Ni
0.5000 0.5000 0.7291 Ni
0.0000 0.0000 0.5000 Ir
```



Density functional theory data (PBE) for crystalline Cd2NiIr at its relaxed geometry.

Calculated values
E_form (eV/atom): 0.248
Total energy (eV per atom): -3.87

POSCAR file:
```
Cd2NiIr
1.0
0.0000 3.1956 3.1956
3.1956 0.0000 3.1956
3.1956 3.1956 0.0000
Cd Ni Ir
2 1 1
Direct
0.0000 0.0000 0.0000 Cd
0.2500 0.2500 0.2500 Cd
0.7500 0.7500 0.7500 Ni
0.5000 0.5000 0.5000 Ir
```



Density functional theory data (PBE) for crystalline CdNi2Ir at its relaxed geometry.

Calculated values
E_form (eV/atom): 0.155
Total energy (eV per atom): -5.18

POSCAR file:
```
CdNi2Ir
1.0
-1.3795 2.2323 4.5209
1.3795 -2.2323 4.5209
1.3795 2.2323 -4.5209
Cd Ni Ir
1 2 1
Direct
0.0000 0.0000 0.0000 Cd
0.5137 0.5137 0.0000 Ni
0.7401 0.2401 0.5000 Ni
0.2774 0.7774 0.5000 Ir
```